No. 1
# Al5Ag7 | the Alexandria database | GGA-PBE | relaxed
data_Al5Ag7
_chemical_formula_sum 'Al5 Ag7'
_space_group_name_H-M_alt 'P 1'
_space_group_IT_number 1
_space_group_name_Hall 'P 1'
_cell_length_a 3.003
_cell_length_b 7.457
_cell_length_c 10.588
_cell_angle_alpha 118.28
_cell_angle_beta 90.00
_cell_angle_gamma 101.62
loop_
_atom_site_label
_atom_site_type_symbol
_atom_site_fract_x
_atom_site_fract_y
_atom_site_fract_z
Al1 Al 0.839 0.677 0.503
Al2 Al 0.000 0.000 0.000
Al3 Al 0.693 0.387 0.753
Al4 Al 0.161 0.323 0.497
Al5 Al 0.307 0.613 0.247
Ag1 Ag 0.667 0.335 0.009
Ag2 Ag 0.333 0.665 0.991
Ag3 Ag 0.647 0.294 0.263
Ag4 Ag 0.353 0.706 0.737
Ag5 Ag 0.500 0.000 0.500
Ag6 Ag 0.970 0.939 0.246
Ag7 Ag 0.030 0.061 0.754
# Total energy in eV per cell: -39.25
# Magnetic moment in μB per formula unit: 0.000
# DOS at the Fermi energy in states/eV per cell: 3.162
# Calculated formation energy in meV per atom: -48
# Space-group type: C2/m, No. 12
# Energy above the lowest structure with this stoichiometry in eV per atom: 0.000

---

No. 2
# TlIn2Co | the Alexandria database | GGA-PBE | relaxed
data_TlIn2Co
_chemical_formula_sum 'Tl1 In2 Co1'
_space_group_name_H-M_alt 'P 1'
_space_group_IT_number 1
_space_group_name_Hall 'P 1'
_cell_length_a 5.440
_cell_length_b 5.440
_cell_length_c 5.440
_cell_angle_alpha 132.51
_cell_angle_beta 132.51
_cell_angle_gamma 69.43
loop_
_atom_site_label
_atom_site_type_symbol
_atom_site_fract_x
_atom_site_fract_y
_atom_site_fract_z
In1 In 0.250 0.750 0.500
In2 In 0.000 0.000 0.000
Tl1 Tl 0.500 0.500 0.000
Co1 Co 0.750 0.250 0.500
# Total energy in eV per cell: -13.14
# Magnetic moment in μB per formula unit: 1.306
# DOS at the Fermi energy in states/eV per cell: 3.172
# Calculated formation energy in meV per atom: 453
# Space-group type: I-4m2, No. 119
# Energy above the lowest structure with this stoichiometry in eV per atom: 0.300

---

No. 3
# Y2TaIr | the Alexandria database | GGA-PBE | relaxed
data_Y2TaIr
_chemical_formula_sum 'Y2 Ta1 Ir1'
_space_group_name_H-M_alt 'P 1'
_space_group_IT_number 1
_space_group_name_Hall 'P 1'
_cell_length_a 5.130
_cell_length_b 5.130
_cell_length_c 3.290
_cell_angle_alpha 90.00
_cell_angle_beta 90.00
_cell_angle_gamma 89.91
loop_
_atom_site_label
_atom_site_type_symbol
_atom_site_fract_x
_atom_site_fract_y
_atom_site_fract_z
Y1 Y 0.500 0.500 0.000
Y2 Y 0.000 0.000 0.000
Ir1 Ir 0.500 0.000 0.500
Ta1 Ta 0.000 0.500 0.500
# Total energy in eV per cell: -33.47
# Magnetic moment in μB per formula unit: 0.002
# DOS at the Fermi energy in states/eV per cell: 5.466
# Calculated formation energy in meV per atom: 42
# Space-group type: Cmmm, No. 65
# Energy above the lowest structure with this stoichiometry in eV per atom: 0.284

---

No. 4
# Na5B7C3 | the Alexandria database | GGA-PBE | relaxed
data_Na5B7C3
_chemical_formula_sum 'Na10 B14 C6'
_space_group_name_H-M_alt 'P 1'
_space_group_IT_number 1
_space_group_name_Hall 'P 1'
_cell_length_a 7.668
_cell_length_b 7.668
_cell_length_c 9.053
_cell_angle_alpha 107.67
_cell_angle_beta 107.67
_cell_angle_gamma 37.86
loop_
_atom_site_label
_atom_site_type_symbol
_atom_site_fract_x
_atom_site_fract_y
_atom_site_fract_z
Na1 Na 0.296 0.304 0.504
Na2 Na 0.801 0.799 0.996
Na3 Na 0.503 0.499 0.505
Na4 Na 0.000 0.998 0.996
Na5 Na 0.101 0.099 0.504
Na6 Na 0.697 0.705 0.504
Na7 Na 0.596 0.604 0.996
Na8 Na 0.401 0.397 0.995
Na9 Na 0.195 0.203 0.996
Na10 Na 0.902 0.900 0.504
B1 B 0.964 0.343 0.250
B2 B 0.398 0.708 0.250
B3 B 0.884 0.216 0.750
B4 B 0.192 0.502 0.250
B5 B 0.123 0.777 0.250
B6 B 0.684 0.016 0.750
B7 B 0.083 0.417 0.750
B8 B 0.725 0.355 0.250
B9 B 0.283 0.617 0.750
B10 B 0.545 0.175 0.250
B11 B 0.295 0.994 0.250
B12 B 0.906 0.605 0.250
B13 B 0.483 0.817 0.750
B14 B 0.557 0.936 0.250
C1 C 0.817 0.483 0.749
C2 C 0.417 0.083 0.751
C3 C 0.217 0.883 0.750
C4 C 0.017 0.683 0.750
C5 C 0.800 0.100 0.250
C6 C 0.617 0.283 0.750
# Total energy in eV per cell: -157.74
# Magnetic moment in μB per formula unit: 0.000
# DOS at the Fermi energy in states/eV per cell: 3.252
# Calculated formation energy in meV per atom: 143
# Space-group type: C2, No. 5
# Energy above the lowest structure with this stoichiometry in eV per atom: 0.030

---

No. 5
# CsP2RhSe8 | the Alexandria database | GGA-PBE | relaxed
data_CsP2RhSe8
_chemical_formula_sum 'Cs1 P2 Rh1 Se8'
_space_group_name_H-M_alt 'P 1'
_space_group_IT_number 1
_space_group_name_Hall 'P 1'
_cell_length_a 6.010
_cell_length_b 6.010
_cell_length_c 11.895
_cell_angle_alpha 75.37
_cell_angle_beta 75.37
_cell_angle_gamma 60.00
loop_
_atom_site_label
_atom_site_type_symbol
_atom_site_fract_x
_atom_site_fract_y
_atom_site_fract_z
Se1 Se 0.307 0.915 0.133
Se2 Se 0.645 0.307 0.133
Se3 Se 0.693 0.085 0.867
Se4 Se 0.915 0.645 0.133
Se5 Se 0.795 0.795 0.616
Se6 Se 0.085 0.355 0.867
Se7 Se 0.355 0.693 0.867
Se8 Se 0.205 0.205 0.384
Cs1 Cs 0.500 0.500 0.500
P1 P 0.732 0.732 0.805
P2 P 0.268 0.268 0.195
Rh1 Rh 0.000 0.000 0.000
# Total energy in eV per cell: -49.71
# Magnetic moment in μB per formula unit: 0.001
# E_form (uncorrected) in eV per atom: -0.234
# DOS at the Fermi energy in states/eV per cell: 11.067
# Space-group type: R-3, No. 148

---

No. 6
# MgCd2Au2 | the Alexandria database | GGA-PBE | relaxed
data_MgCd2Au2
_chemical_formula_sum 'Mg2 Cd4 Au4'
_space_group_name_H-M_alt 'P 1'
_space_group_IT_number 1
_space_group_name_Hall 'P 1'
_cell_length_a 4.588
_cell_length_b 5.974
_cell_length_c 8.670
_cell_angle_alpha 97.46
_cell_angle_beta 74.66
_cell_angle_gamma 67.41
loop_
_atom_site_label
_atom_site_type_symbol
_atom_site_fract_x
_atom_site_fract_y
_atom_site_fract_z
Au1 Au 0.673 0.778 0.876
Au2 Au 0.034 0.329 0.603
Au3 Au 0.966 0.671 0.397
Au4 Au 0.327 0.222 0.124
Cd1 Cd 0.315 0.710 0.659
Cd2 Cd 0.898 0.270 0.935
Cd3 Cd 0.102 0.730 0.065
Cd4 Cd 0.685 0.290 0.341
Mg1 Mg 0.620 0.095 0.665
Mg2 Mg 0.380 0.905 0.335
# Total energy in eV per cell: -22.61
# Magnetic moment in μB per formula unit: 0.000
# DOS at the Fermi energy in states/eV per cell: 2.210
# Calculated formation energy in meV per atom: -265
# Space-group type: C2/m, No. 12
# Energy above the lowest structure with this stoichiometry in eV per atom: 0.057

---

No. 7
# PmPrSeN | the Alexandria database | GGA-PBE | relaxed
data_PmPrSeN
_chemical_formula_sum 'Pm1 Pr1 Se1 N1'
_space_group_name_H-M_alt 'P 1'
_space_group_IT_number 1
_space_group_name_Hall 'P 1'
_cell_length_a 3.828
_cell_length_b 3.828
_cell_length_c 7.154
_cell_angle_alpha 74.48
_cell_angle_beta 74.48
_cell_angle_gamma 60.00
loop_
_atom_site_label
_atom_site_type_symbol
_atom_site_fract_x
_atom_site_fract_y
_atom_site_fract_z
Pr1 Pr 0.734 0.734 0.797
Se1 Se 0.502 0.502 0.494
Pm1 Pm 0.266 0.266 0.201
N1 N 0.998 0.998 0.007
# Total energy in eV per cell: -27.77
# Magnetic moment in μB per formula unit: 0.000
# E_form (uncorrected) in eV per atom: -1.608
# DOS at the Fermi energy in states/eV per cell: 1.007
# Space-group type: R3m, No. 160

---

No. 8
# CsIO2 | the Alexandria database | GGA-PBE | relaxed
data_CsIO2
_chemical_formula_sum 'Cs1 I1 O2'
_space_group_name_H-M_alt 'P 1'
_space_group_IT_number 1
_space_group_name_Hall 'P 1'
_cell_length_a 8.195
_cell_length_b 8.195
_cell_length_c 8.195
_cell_angle_alpha 27.04
_cell_angle_beta 27.04
_cell_angle_gamma 27.04
loop_
_atom_site_label
_atom_site_type_symbol
_atom_site_fract_x
_atom_site_fract_y
_atom_site_fract_z
Cs1 Cs 0.500 0.500 0.500
O1 O 0.917 0.917 0.917
O2 O 0.083 0.083 0.083
I1 I 0.000 0.000 0.000
# Total energy in eV per cell: -14.24
# Magnetic moment in μB per formula unit: 0.000
# E_form (uncorrected) in eV per atom: -0.479
# DOS at the Fermi energy in states/eV per cell: 2.784
# Space-group type: R-3m, No. 166
# Energy above the lowest structure with this stoichiometry in eV per atom: 0.243

---

Question: Which of these has the highest magnetic moment?
Answer: TlIn2Co

---

Question: What is the formula in the eighth record?
Answer: CsIO2

---

Question: Among the records above, which one has the lowest DOS at the Fermi energy?
Answer: PmPrSeN